# NaAlGe, optimized geometry, DFT PBE
# Total energy (eV/atom): -3.075
# Crystal system: tetragonal
# ρ (g/cm3): 2.3
# E_form (kJ/mol of atoms): 14.6
data_NaAlGe
_chemical_formula_sum 'Na4 Al4 Ge4'
_symmetry_space_group_name_H-M 'P 41 2 2'
_symmetry_Int_Tables_number 91
_cell_length_a 7.022
_cell_length_b 7.022
_cell_length_c 7.100
_cell_angle_alpha 90.00
_cell_angle_beta 90.00
_cell_angle_gamma 90.00
loop_
_symmetry_equiv_pos_as_xyz
'x,y,z'
'-y,x,z+1/4'
'-x,-y,z+1/2'
'y,-x,z+3/4'
'x,-y,-z+1/2'
'-y,-x,-z+1/4'
'-x,y,-z'
'y,x,-z+3/4'
loop_
_atom_site_label
_atom_site_fract_x
_atom_site_fract_y
_atom_site_fract_z
Na1 0.000 0.358 0.000
Al1 0.347 0.347 0.375
Ge1 0.304 0.500 0.750

---

# NaAlGe, optimized geometry, DFT PBE
# Total energy (eV/atom): -3.267
# Crystal system: triclinic
# ρ (g/cm3): 3.1
# E_form (kJ/mol of atoms): -4.0
data_NaAlGe
_chemical_formula_sum 'Na2 Al2 Ge2'
_symmetry_space_group_name_H-M 'P -1'
_symmetry_Int_Tables_number 2
_cell_length_a 3.751
_cell_length_b 5.707
_cell_length_c 7.064
_cell_angle_alpha 113.62
_cell_angle_beta 105.21
_cell_angle_gamma 90.42
loop_
_symmetry_equiv_pos_as_xyz
'x,y,z'
'-x,-y,-z'
loop_
_atom_site_label
_atom_site_fract_x
_atom_site_fract_y
_atom_site_fract_z
Na1 0.197 0.197 0.394
Al1 0.498 0.238 0.000
Ge1 0.106 0.607 0.213

---

# NaAlGe, optimized geometry, DFT PBE
# Total energy (eV/atom): -3.279
# Crystal system: orthorhombic
# ρ (g/cm3): 3.2
# E_form (kJ/mol of atoms): -5.1
data_NaAlGe
_chemical_formula_sum 'Na4 Al4 Ge4'
_symmetry_space_group_name_H-M 'I m m 2'
_symmetry_Int_Tables_number 44
_cell_length_a 4.460
_cell_length_b 7.679
_cell_length_c 7.482
_cell_angle_alpha 90.00
_cell_angle_beta 90.00
_cell_angle_gamma 90.00
loop_
_symmetry_equiv_pos_as_xyz
'x,y,z'
'-x,-y,z'
'-x,y,z'
'x,-y,z'
'x+1/2,y+1/2,z+1/2'
'-x+1/2,-y+1/2,z+1/2'
'-x+1/2,y+1/2,z+1/2'
'x+1/2,-y+1/2,z+1/2'
loop_
_atom_site_label
_atom_site_fract_x
_atom_site_fract_y
_atom_site_fract_z
Na1 0.000 0.000 0.000
Na2 0.000 0.500 0.140
Al1 0.000 0.325 0.728
Ge1 0.000 0.181 0.413

---

# NaAl2Ge, optimized geometry, DFT PBE
# Total energy (eV/atom): -3.179
# Crystal system: trigonal
# ρ (g/cm3): 2.5
# E_form (kJ/mol of atoms): 17.0
data_NaAl2Ge
_chemical_formula_sum 'Na3 Al6 Ge3'
_symmetry_space_group_name_H-M 'R -3 m'
_symmetry_Int_Tables_number 166
_symmetry_space_group_name_Hall '-R 3 2"'
_cell_length_a 4.0577
_cell_length_b 4.0577
_cell_length_c 20.6413
_cell_angle_alpha 90.00
_cell_angle_beta 90.00
_cell_angle_gamma 120.00
loop_
_atom_site_label
_atom_site_fract_x
_atom_site_fract_y
_atom_site_fract_z
Na1 0.0000 0.0000 0.0000
Al1 0.0000 0.0000 0.2231
Ge1 0.0000 0.0000 0.5000

---

# NaAlGe, optimized geometry, DFT PBE
# Total energy (eV/atom): -3.293
# Crystal system: hexagonal
# ρ (g/cm3): 3.4
# E_form (kJ/mol of atoms): -6.4
data_NaAlGe
_chemical_formula_sum 'Na2 Al2 Ge2'
_symmetry_space_group_name_H-M 'P 63 m c'
_symmetry_Int_Tables_number 186
_symmetry_space_group_name_Hall 'P 6c -2c'
_cell_length_a 4.4372
_cell_length_b 4.4372
_cell_length_c 7.1090
_cell_angle_alpha 90.00
_cell_angle_beta 90.00
_cell_angle_gamma 120.00
loop_
_atom_site_label
_atom_site_fract_x
_atom_site_fract_y
_atom_site_fract_z
Na1 0.0000 0.0000 0.0000
Al1 0.3333 0.6667 0.2960
Ge1 0.3333 0.6667 0.6908

---

# NaAlGe, optimized geometry, DFT PBE
# Total energy (eV/atom): -3.215
# Crystal system: orthorhombic
# ρ (g/cm3): 3.3
# E_form (kJ/mol of atoms): 1.1
data_NaAlGe
_chemical_formula_sum 'Na4 Al4 Ge4'
_symmetry_space_group_name_H-M 'I m m a'
_symmetry_Int_Tables_number 74
_symmetry_space_group_name_Hall '-I 2b 2'
_cell_length_a 5.400
_cell_length_b 5.946
_cell_length_c 7.682
_cell_angle_alpha 90.00
_cell_angle_beta 90.00
_cell_angle_gamma 90.00
loop_
_atom_site_label
_atom_site_fract_x
_atom_site_fract_y
_atom_site_fract_z
Na1 0.000 0.250 0.128
Al1 0.250 0.250 0.750
Ge1 0.000 0.000 0.500

---

# NaAlGe, optimized geometry, DFT PBE
# Total energy (eV/atom): -3.265
# Crystal system: hexagonal
# ρ (g/cm3): 2.7
# E_form (kJ/mol of atoms): -3.7
data_NaAlGe
_chemical_formula_sum 'Na1 Al1 Ge1'
_symmetry_space_group_name_H-M 'P -6 m 2'
_symmetry_Int_Tables_number 187
_symmetry_space_group_name_Hall 'P -6 2'
_cell_length_a 4.2411
_cell_length_b 4.2411
_cell_length_c 4.7758
_cell_angle_alpha 90.00
_cell_angle_beta 90.00
_cell_angle_gamma 120.00
loop_
_atom_site_label
_atom_site_fract_x
_atom_site_fract_y
_atom_site_fract_z
Na1 0.0000 0.0000 0.0000
Al1 0.6667 0.3333 0.5000
Ge1 0.3333 0.6667 0.5000

---

# NaAlGe, optimized geometry, DFT PBE
# Total energy (eV/atom): -3.358
# Crystal system: orthorhombic
# ρ (g/cm3): 3.3
# E_form (kJ/mol of atoms): -12.7
data_NaAlGe
_chemical_formula_sum 'Na4 Al4 Ge4'
_symmetry_space_group_name_H-M 'P n m a'
_symmetry_Int_Tables_number 62
_cell_length_a 7.517
_cell_length_b 4.324
_cell_length_c 7.597
_cell_angle_alpha 90.00
_cell_angle_beta 90.00
_cell_angle_gamma 90.00
loop_
_symmetry_equiv_pos_as_xyz
'x,y,z'
'-x,-y,-z'
'-x+1/2,-y,z+1/2'
'x+1/2,y,-z+1/2'
'x+1/2,-y+1/2,-z+1/2'
'-x+1/2,y+1/2,z+1/2'
'-x,y+1/2,-z'
'x,-y+1/2,z'
loop_
_atom_site_label
_atom_site_fract_x
_atom_site_fract_y
_atom_site_fract_z
Na1 0.010 0.250 0.168
Al1 0.151 0.250 0.577
Ge1 0.200 0.750 0.391

---

# NaAlGe, optimized geometry, DFT PBE
# Total energy (eV/atom): -3.190
# Crystal system: orthorhombic
# ρ (g/cm3): 3.1
# E_form (kJ/mol of atoms): 3.5
data_NaAlGe
_chemical_formula_sum 'Na4 Al4 Ge4'
_symmetry_space_group_name_H-M 'C m c m'
_symmetry_Int_Tables_number 63
_symmetry_space_group_name_Hall '-C 2c 2'
_cell_length_a 3.919
_cell_length_b 11.602
_cell_length_c 5.860
_cell_angle_alpha 90.00
_cell_angle_beta 90.00
_cell_angle_gamma 90.00
loop_
_atom_site_label
_atom_site_fract_x
_atom_site_fract_y
_atom_site_fract_z
Na1 0.000 0.203 0.250
Al1 0.000 0.500 0.000
Ge1 0.000 0.089 0.750

---

# NaAlGe, optimized geometry, DFT PBE
# Total energy (eV/atom): -3.092
# Crystal system: orthorhombic
# ρ (g/cm3): 2.8
# E_form (kJ/mol of atoms): 13.0
data_NaAlGe
_chemical_formula_sum 'Na2 Al2 Ge2'
_symmetry_space_group_name_H-M 'P m m a'
_symmetry_Int_Tables_number 51
_cell_length_a 8.147
_cell_length_b 5.312
_cell_length_c 3.413
_cell_angle_alpha 90.00
_cell_angle_beta 90.00
_cell_angle_gamma 90.00
loop_
_symmetry_equiv_pos_as_xyz
'x,y,z'
'-x,-y,-z'
'-x+1/2,-y,z'
'x+1/2,y,-z'
'x+1/2,-y,-z'
'-x+1/2,y,z'
'-x,y,-z'
'x,-y,z'
loop_
_atom_site_label
_atom_site_fract_x
_atom_site_fract_y
_atom_site_fract_z
Na1 0.250 0.000 0.002
Al1 0.000 0.500 0.000
Ge1 0.250 0.500 0.500

---

# NaAlGe, optimized geometry, DFT PBE
# Total energy (eV/atom): -3.171
# Crystal system: trigonal
# ρ (g/cm3): 3.0
# E_form (kJ/mol of atoms): 5.4
data_NaAlGe
_chemical_formula_sum 'Na6 Al6 Ge6'
_symmetry_space_group_name_H-M 'R -3 m'
_symmetry_Int_Tables_number 166
_symmetry_space_group_name_Hall '-R 3 2"'
_cell_length_a 4.6397
_cell_length_b 4.6397
_cell_length_c 21.7569
_cell_angle_alpha 90.00
_cell_angle_beta 90.00
_cell_angle_gamma 120.00
loop_
_atom_site_label
_atom_site_fract_x
_atom_site_fract_y
_atom_site_fract_z
Na1 0.0000 0.0000 0.2123
Al1 0.0000 0.0000 0.3657
Ge1 0.0000 0.0000 0.0591

---

# NaAl3Ge3, optimized geometry, DFT PBE
# Total energy (eV/atom): -3.647
# Crystal system: cubic
# ρ (g/cm3): 2.9
# E_form (kJ/mol of atoms): 12.0
# Energy above the most stable polymorph in this dataset (eV per atom): 0.104
data_NaAl3Ge3
_chemical_formula_sum 'Na2 Al6 Ge6'
_symmetry_space_group_name_H-M 'P m -3 n'
_symmetry_Int_Tables_number 223
_symmetry_space_group_name_Hall '-P 4n 2 3'
_cell_length_a 7.141
_cell_length_b 7.141
_cell_length_c 7.141
_cell_angle_alpha 90.00
_cell_angle_beta 90.00
_cell_angle_gamma 90.00
loop_
_atom_site_label
_atom_site_fract_x
_atom_site_fract_y
_atom_site_fract_z
Na1 0.000 0.000 0.000
Al1 0.000 0.250 0.500
Ge1 0.000 0.500 0.250

---

# NaAlGe, optimized geometry, DFT PBE
# Total energy (eV/atom): -3.211
# Crystal system: orthorhombic
# ρ (g/cm3): 2.7
# E_form (kJ/mol of atoms): 1.5
data_NaAlGe
_chemical_formula_sum 'Na2 Al2 Ge2'
_symmetry_space_group_name_H-M 'P m m m'
_symmetry_Int_Tables_number 47
_cell_length_a 4.260
_cell_length_b 4.685
_cell_length_c 7.435
_cell_angle_alpha 90.00
_cell_angle_beta 90.00
_cell_angle_gamma 90.00
loop_
_symmetry_equiv_pos_as_xyz
'x,y,z'
'-x,-y,-z'
'-x,-y,z'
'x,y,-z'
'x,-y,-z'
'-x,y,z'
'-x,y,-z'
'x,-y,z'
loop_
_atom_site_label
_atom_site_fract_x
_atom_site_fract_y
_atom_site_fract_z
Na1 0.000 0.000 0.000
Na2 0.500 0.000 0.500
Al1 0.000 0.500 0.329
Ge1 0.500 0.500 0.164

---

# NaAlGe, optimized geometry, DFT PBE
# Total energy (eV/atom): -3.084
# Crystal system: orthorhombic
# ρ (g/cm3): 2.9
# E_form (kJ/mol of atoms): 13.7
data_NaAlGe
_chemical_formula_sum 'Na4 Al4 Ge4'
_symmetry_space_group_name_H-M 'C m c m'
_symmetry_Int_Tables_number 63
_symmetry_space_group_name_Hall '-C 2c 2'
_cell_length_a 5.968
_cell_length_b 8.009
_cell_length_c 5.933
_cell_angle_alpha 90.00
_cell_angle_beta 90.00
_cell_angle_gamma 90.00
loop_
_atom_site_label
_atom_site_fract_x
_atom_site_fract_y
_atom_site_fract_z
Na1 0.000 0.133 0.250
Al1 0.000 0.500 0.000
Ge1 0.000 0.250 0.750

---

# Na3Al2Ge3, optimized geometry, DFT PBE
# Total energy (eV/atom): -3.287
# Crystal system: orthorhombic
# ρ (g/cm3): 3.2
# E_form (kJ/mol of atoms): -12.1
data_Na3Al2Ge3
_chemical_formula_sum 'Na12 Al8 Ge12'
_symmetry_space_group_name_H-M 'C m c m'
_symmetry_Int_Tables_number 63
_symmetry_space_group_name_Hall '-C 2c 2'
_cell_length_a 4.302
_cell_length_b 11.066
_cell_length_c 14.718
_cell_angle_alpha 90.00
_cell_angle_beta 90.00
_cell_angle_gamma 90.00
loop_
_atom_site_label
_atom_site_fract_x
_atom_site_fract_y
_atom_site_fract_z
Na1 0.000 0.072 0.123
Na2 0.000 0.386 0.250
Al1 0.000 0.216 0.591
Ge1 0.000 0.315 0.750
Ge2 0.000 0.391 0.031

---

# NaAl3Ge3, optimized geometry, DFT PBE
# Total energy (eV/atom): -3.751
# Crystal system: trigonal
# ρ (g/cm3): 3.1
# E_form (kJ/mol of atoms): 2.0
# Energy above the most stable polymorph in this dataset (eV per atom): 0.000
data_NaAl3Ge3
_chemical_formula_sum 'Na6 Al18 Ge18'
_symmetry_space_group_name_H-M 'R -3'
_symmetry_Int_Tables_number 148
_symmetry_space_group_name_Hall '-R 3'
_cell_length_a 6.9446
_cell_length_b 6.9446
_cell_length_c 24.4313
_cell_angle_alpha 90.00
_cell_angle_beta 90.00
_cell_angle_gamma 120.00
loop_
_atom_site_label
_atom_site_fract_x
_atom_site_fract_y
_atom_site_fract_z
Na1 0.0000 0.0000 0.1663
Al1 0.0005 0.3362 0.3639
Ge1 0.0008 0.6717 0.4123

---

# NaAlGe, optimized geometry, DFT PBE
# Total energy (eV/atom): -3.291
# Crystal system: triclinic
# ρ (g/cm3): 2.9
# E_form (kJ/mol of atoms): -6.2
data_NaAlGe
_chemical_formula_sum 'Na2 Al2 Ge2'
_symmetry_space_group_name_H-M 'P -1'
_symmetry_Int_Tables_number 2
_cell_length_a 4.222
_cell_length_b 5.599
_cell_length_c 6.643
_cell_angle_alpha 68.17
_cell_angle_beta 72.70
_cell_angle_gamma 80.40
loop_
_symmetry_equiv_pos_as_xyz
'x,y,z'
'-x,-y,-z'
loop_
_atom_site_label
_atom_site_fract_x
_atom_site_fract_y
_atom_site_fract_z
Na1 0.162 0.216 0.109
Al1 0.433 0.220 0.547
Ge1 0.180 0.632 0.290

---

# NaAlGe, optimized geometry, DFT PBE
# Total energy (eV/atom): -3.265
# Crystal system: trigonal
# ρ (g/cm3): 2.6
# E_form (kJ/mol of atoms): -3.8
data_NaAlGe
_chemical_formula_sum 'Na3 Al3 Ge3'
_symmetry_space_group_name_H-M 'R 3 m'
_symmetry_Int_Tables_number 160
_symmetry_space_group_name_Hall 'R 3 -2"'
_cell_length_a 4.2522
_cell_length_b 4.2522
_cell_length_c 14.9813
_cell_angle_alpha 90.00
_cell_angle_beta 90.00
_cell_angle_gamma 120.00
loop_
_atom_site_label
_atom_site_fract_x
_atom_site_fract_y
_atom_site_fract_z
Na1 0.0000 0.0000 0.0000
Al1 0.0000 0.0000 0.4879
Ge1 0.0000 0.0000 0.7995

---

# NaAlGe, optimized geometry, DFT PBE
# Total energy (eV/atom): -3.288
# Crystal system: hexagonal
# ρ (g/cm3): 2.8
# E_form (kJ/mol of atoms): -5.9
data_NaAlGe
_chemical_formula_sum 'Na2 Al2 Ge2'
_symmetry_space_group_name_H-M 'P 63/m m c'
_symmetry_Int_Tables_number 194
_symmetry_space_group_name_Hall '-P 6c 2c'
_cell_length_a 4.2477
_cell_length_b 4.2477
_cell_length_c 9.3153
_cell_angle_alpha 90.00
_cell_angle_beta 90.00
_cell_angle_gamma 120.00
loop_
_atom_site_label
_atom_site_fract_x
_atom_site_fract_y
_atom_site_fract_z
Na1 0.0000 0.0000 0.0000
Al1 0.3333 0.6667 0.2500
Ge1 0.3333 0.6667 0.7500

---

# NaAl4Ge2, optimized geometry, DFT PBE
# Total energy (eV/atom): -3.663
# Crystal system: tetragonal
# ρ (g/cm3): 3.4
# E_form (kJ/mol of atoms): -1.6
data_NaAl4Ge2
_chemical_formula_sum 'Na2 Al8 Ge4'
_symmetry_space_group_name_H-M 'P 42/m n m'
_symmetry_Int_Tables_number 136
_symmetry_space_group_name_Hall '-P 4n 2n'
_cell_length_a 8.105
_cell_length_b 8.105
_cell_length_c 4.163
_cell_angle_alpha 90.00
_cell_angle_beta 90.00
_cell_angle_gamma 90.00
loop_
_atom_site_label
_atom_site_fract_x
_atom_site_fract_y
_atom_site_fract_z
Na1 0.000 0.000 0.000
Al1 0.078 0.345 0.500
Ge1 0.218 0.782 0.500

---

| no. | total moment (μB/atom) |
| --- | --- |
| 1 | 0.00 |
| 2 | 0.00 |
| 3 | 0.00 |
| 4 | 0.00 |
| 5 | 0.00 |
| 6 | 0.00 |
| 7 | 0.00 |
| 8 | 0.00 |
| 9 | 0.00 |
| 10 | 0.00 |
| 11 | 0.00 |
| 12 | 0.00 |
| 13 | 0.00 |
| 14 | 0.00 |
| 15 | 0.00 |
| 16 | 0.00 |
| 17 | 0.00 |
| 18 | 0.00 |
| 19 | 0.00 |
| 20 | 0.00 |